Record 1
Density functional theory data (PBE) for a relaxed structure of Ac3LaY2Te6.

a = 4.516 Å, b = 9.318 Å, c = 10.323 Å
α = 104.90°, β = 102.63°, γ = 90.00°
Sites, in units of the cell vectors:
1 Y 0.834 0.668 0.667
2 Ac 0.163 0.830 0.325
3 Te 0.992 0.753 0.984
4 La 0.500 0.000 0.000
5 Te 0.327 0.432 0.654
6 Ac 0.500 0.500 0.000
7 Ac 0.837 0.170 0.675
8 Te 0.667 0.100 0.334
9 Te 0.008 0.247 0.016
10 Te 0.673 0.568 0.346
11 Y 0.166 0.332 0.333
12 Te 0.333 0.900 0.666

Output
As for the crystal system: monoclinic. For the formation energy without anion corrections, the calculation gives -1.442 eV per atom. The total energy is -66.34 eV for the cell shown.



Record 2
Density functional theory data (PBE) for a relaxed structure of Mg2TaB2Os5.

a = 2.994 Å, b = 9.629 Å, c = 9.629 Å
α = 90.00°, β = 90.00°, γ = 90.00°
Sites, in units of the cell vectors:
1 B 0.000 0.621 0.879
2 Os 0.500 0.000 0.500
3 Mg 0.000 0.823 0.677
4 Os 0.500 0.929 0.220
5 B 0.000 0.121 0.621
6 Mg 0.000 0.323 0.823
7 Mg 0.000 0.177 0.323
8 Mg 0.000 0.677 0.177
9 Os 0.500 0.280 0.571
10 Os 0.500 0.500 0.000
11 B 0.000 0.379 0.121
12 Os 0.500 0.720 0.429
13 Os 0.500 0.071 0.780
14 Os 0.500 0.780 0.929
15 B 0.000 0.879 0.379
16 Ta 0.000 0.000 0.000
17 Os 0.500 0.429 0.280
18 Os 0.500 0.571 0.720
19 Os 0.500 0.220 0.071
20 Ta 0.000 0.500 0.500

Output
As for the crystal system: tetragonal. The total energy is -170.17 eV for the cell shown. Its formation enthalpy at 0 K is -0.05 eV per atom.



Record 3
Density functional theory data (PBE) for a relaxed structure of Tm8Te4P3S.

a = 8.087 Å, b = 8.378 Å, c = 8.087 Å
α = 118.86°, β = 120.00°, γ = 90.00°
Sites, in units of the cell vectors:
1 Te 0.500 0.000 0.000
2 P 0.500 0.500 0.000
3 Te 0.000 0.000 0.000
4 Tm 0.237 0.706 0.969
5 Tm 0.732 0.706 0.969
6 Te 0.500 0.000 0.500
7 Tm 0.237 0.706 0.474
8 P 0.500 0.500 0.500
9 S 0.000 0.500 0.000
10 Te 0.000 0.000 0.500
11 P 0.000 0.500 0.500
12 Tm 0.736 0.707 0.471
13 Tm 0.268 0.294 0.031
14 Tm 0.763 0.294 0.526
15 Tm 0.763 0.294 0.031
16 Tm 0.264 0.293 0.529

Output
As for the crystal system: trigonal. For the formation energy without anion corrections, the calculation gives -1.528 eV per atom. The total energy is -93.14 eV for the cell shown.



Record 4
Density functional theory data (PBE) for a relaxed structure of BeCu2Au.

a = 4.155 Å, b = 4.155 Å, c = 4.155 Å
α = 60.00°, β = 60.00°, γ = 60.00°
Sites, in units of the cell vectors:
1 Cu 0.250 0.250 0.250
2 Cu 0.000 0.000 0.000
3 Au 0.500 0.500 0.500
4 Be 0.750 0.750 0.750

Output
As for the crystal system: cubic. The total energy is -15.26 eV for the cell shown. Its formation enthalpy at 0 K is -0.02 eV per atom.



Record 5
Density functional theory data (PBE) for a relaxed structure of ZrTa3Al.

a = 4.751 Å, b = 4.751 Å, c = 4.751 Å
α = 90.00°, β = 90.00°, γ = 90.00°
Sites, in units of the cell vectors:
1 Ta 0.000 0.500 0.000
2 Ta 0.500 0.000 0.000
3 Zr 0.500 0.500 0.500
4 Al 0.000 0.000 0.000
5 Ta 0.000 0.000 0.500

Output
As for the crystal system: cubic. The energy above the most stable polymorph in this dataset comes out at 0.0 kJ/mol of formula units. The total energy is -42.65 eV for the cell shown. Its formation enthalpy at 0 K is 1.04 eV per atom.



Record 6
Density functional theory data (PBE) for a relaxed structure of TlVGe2Br8.

a = 7.707 Å, b = 6.802 Å, c = 8.808 Å
α = 90.10°, β = 92.32°, γ = 59.29°
Site moments in Bohr magnetons follow the coordinates.
Sites, in units of the cell vectors:
1 Ge 0.330 0.346 0.831  0.01
2 Br 0.267 0.677 0.162  -0.03
3 Br 0.733 0.323 0.838  -0.03
4 Ge 0.670 0.654 0.169  0.01
5 Tl 0.000 0.000 0.500  0.00
6 Br 0.044 0.279 0.172  -0.02
7 V 0.000 0.000 0.000  1.91
8 Br 0.330 0.359 0.555  0.00
9 Br 0.956 0.721 0.828  -0.02
10 Br 0.274 0.976 0.826  -0.02
11 Br 0.726 0.024 0.174  -0.02
12 Br 0.670 0.641 0.445  0.00

Output
As for the crystal system: triclinic. For the formation energy without anion corrections, the calculation gives -0.673 eV per atom. The total energy is -42.18 eV for the cell shown.



Record 7
Density functional theory data (PBE) for a relaxed structure of Ac3Sm3DySe8.

a = 8.492 Å, b = 8.492 Å, c = 8.681 Å
α = 119.28°, β = 90.00°, γ = 120.00°
Sites, in units of the cell vectors:
1 Se 0.758 0.516 0.270
2 Dy 0.000 0.000 0.500
3 Ac 0.000 0.500 0.000
4 Sm 0.000 0.500 0.500
5 Se 0.257 0.513 0.270
6 Se 0.242 0.988 0.730
7 Ac 0.500 0.500 0.000
8 Sm 0.500 0.000 0.500
9 Ac 0.000 0.000 0.000
10 Se 0.242 0.484 0.730
11 Se 0.255 0.012 0.270
12 Se 0.743 0.487 0.730
13 Se 0.758 0.012 0.270
14 Sm 0.500 0.500 0.500
15 Se 0.745 0.988 0.730

Output
As for the crystal system: trigonal. For the formation energy without anion corrections, the calculation gives -1.876 eV per atom. The total energy is -87.10 eV for the cell shown.



Record 8
Density functional theory data (PBE) for a relaxed structure of ReTePd.

a = 3.206 Å, b = 3.205 Å, c = 12.963 Å
α = 90.00°, β = 90.00°, γ = 120.01°
Sites, in units of the cell vectors:
1 Re 0.654 0.308 0.658
2 Re 0.654 0.308 0.342
3 Pd 0.397 0.795 0.000
4 Te 0.320 0.641 0.802
5 Te 0.320 0.641 0.198
6 Pd 0.321 0.641 0.500

Output
As for the crystal system: orthorhombic. For the formation energy without anion corrections, the calculation gives 0.474 eV per atom. The total energy is -38.72 eV for the cell shown.